*one*
The following is a PBE calculation of crystalline NaTcAsSe2 at its relaxed geometry, from Alexandria via LeMat-Bulk.

Unit cell a=5.0809 b=5.0809 c=4.7489 alpha=90.00 beta=90.00 gamma=90.00
Space group P4/mmm (No. 123)
Unique sites:
Na 0.0000 0.0000 0.0000
Tc 0.5000 0.5000 0.5000
As 0.5000 0.5000 0.0000
Se 0.0000 0.5000 0.5000

Results
ρ: 4.793 Mg/m³

---

*two*
The following is a PBE calculation of crystalline NaTcAsSe2 at its relaxed geometry, from Alexandria via LeMat-Bulk.

Unit cell a=5.0543 b=5.0543 c=4.9207 alpha=90.00 beta=90.00 gamma=90.00
Space group P4/mmm (No. 123)
Unique sites:
Na 0.0000 0.0000 0.0000
Tc 0.5000 0.5000 0.5000
As 0.0000 0.0000 0.5000
Se 0.0000 0.5000 0.0000

Results
ρ: 4.674 Mg/m³

---

What should be chosen as the most stable of them? Choose *one*.

---

*one*
The following is a PBE calculation of crystalline NaTiAsSe2 at its relaxed geometry, from Alexandria via LeMat-Bulk.

Unit cell a=5.0147 b=5.0147 c=4.8224 alpha=90.00 beta=90.00 gamma=90.00
Space group P4/mmm (No. 123)
Unique sites:
Na 0.0000 0.0000 0.0000
Ti 0.5000 0.5000 0.5000
As 0.0000 0.0000 0.5000
Se 0.0000 0.5000 0.0000

Results
ρ: 4.159 Mg/m³

---

*two*
The following is a PBE calculation of crystalline NaTiAsSe2 at its relaxed geometry, from Alexandria via LeMat-Bulk.

Unit cell a=5.0175 b=5.0175 c=4.9440 alpha=90.00 beta=90.00 gamma=90.00
Space group P4/mmm (No. 123)
Unique sites:
Na 0.0000 0.0000 0.0000
Ti 0.5000 0.5000 0.5000
As 0.5000 0.5000 0.0000
Se 0.0000 0.5000 0.5000

Results
ρ: 4.052 Mg/m³

---

What should be chosen as the most stable of them? Choose *two*.